Entry 1:
Density functional theory data (PBEsol) for a relaxed structure of K3SN.

The structure in POSCAR format:
```
K3SN
1.0
5.167 0.000 0.000
0.000 5.167 0.000
0.000 0.000 5.167
K S N
3 1 1
Cartesian
0.000 2.583 0.000 K
0.000 0.000 2.583 K
2.583 0.000 0.000 K
2.583 2.583 2.583 S
0.000 0.000 0.000 N
```

Computed properties:
symmetry = No. 221
total magnetic moment = 2.0 μB/cell
uncorrected formation energy = 3 kJ/mol of atoms

Entry 2:
Density functional theory data (PBEsol) for a relaxed structure of KSbSN2.

The structure in POSCAR format:
```
KSbSN2
1.0
4.591 0.000 0.000
0.000 4.591 0.000
0.000 0.000 5.692
Sb K S N
1 1 1 2
Cartesian
2.296 2.296 2.846 Sb
0.000 0.000 0.000 K
0.000 0.000 2.846 S
0.000 2.296 0.000 N
2.296 0.000 0.000 N
```

Computed properties:
symmetry = No. 123
total magnetic moment = 4.1 μB/cell
uncorrected formation energy = 207 kJ/mol of atoms

Entry 3:
Density functional theory data (PBEsol) for a relaxed structure of KSeS2N.

The structure in POSCAR format:
```
KSeS2N
1.0
-3.555 1.650 2.541
-3.018 0.435 -4.505
-1.828 -5.070 0.735
K S Se N
1 2 1 1
Cartesian
0.000 0.000 0.000 K
-0.914 -2.535 0.368 S
-1.509 0.218 -2.252 S
-4.201 -1.492 -0.614 Se
-1.777 0.825 1.271 N
```

Computed properties:
symmetry = No. 123
total magnetic moment = 4.3 μB/cell
uncorrected formation energy = 192 kJ/mol of atoms

Entry 4:
Density functional theory data (PBEsol) for a relaxed structure of KTeSN2.

The structure in POSCAR format:
```
KTeSN2
1.0
-2.441 -2.622 2.070
3.093 -0.804 2.628
-1.563 3.832 3.011
K Te S N
1 1 1 2
Cartesian
-0.455 0.203 3.855 K
0.000 0.000 0.000 Te
-0.781 1.916 1.506 S
1.546 -0.402 1.314 N
-1.220 -1.311 1.035 N
```

Computed properties:
symmetry = No. 123
total magnetic moment = 0.9 μB/cell
uncorrected formation energy = 79 kJ/mol of atoms

Entry 5:
Density functional theory data (PBEsol) for a relaxed structure of KTlSN2.

The structure in POSCAR format:
```
KTlSN2
1.0
-2.402 -2.665 -2.806
3.175 -3.245 0.364
-2.543 -2.028 4.103
S Tl K N
1 1 1 2
Cartesian
-1.272 -1.014 2.052 S
0.000 0.000 0.000 Tl
-0.885 -3.969 0.831 K
1.588 -1.623 0.182 N
-1.201 -1.333 -1.403 N
```

Computed properties:
symmetry = No. 123
total magnetic moment = 3.9 μB/cell
uncorrected formation energy = 118 kJ/mol of atoms

Entry 6:
Density functional theory data (PBEsol) for a relaxed structure of KTlS2N.

The structure in POSCAR format:
```
KTlS2N
1.0
-2.802 0.572 -3.556
0.726 -4.950 -1.369
-4.029 -1.406 2.949
S Tl K N
2 1 1 1
Cartesian
-2.014 -0.703 1.474 S
0.363 -2.475 -0.684 S
0.000 0.000 0.000 Tl
-3.052 -2.892 -0.988 K
-1.401 0.286 -1.778 N
```

Computed properties:
symmetry = No. 123
total magnetic moment = 2.5 μB/cell
uncorrected formation energy = 59 kJ/mol of atoms

Entry 7:
Density functional theory data (PBEsol) for a relaxed structure of KWS2N.

The structure in POSCAR format:
```
KWS2N
1.0
3.886 0.000 0.000
0.000 4.809 0.000
0.000 0.000 4.809
K S W N
1 2 1 1
Cartesian
1.943 2.405 2.405 K
0.000 0.000 2.405 S
0.000 2.405 0.000 S
0.000 0.000 0.000 W
1.943 0.000 0.000 N
```

Computed properties:
symmetry = No. 123
total magnetic moment = 0.0 μB/cell
uncorrected formation energy = -45 kJ/mol of atoms

Entry 8:
Density functional theory data (PBEsol) for a relaxed structure of KSc2N.

The structure in POSCAR format:
```
KSc2N
1.0
-1.774 0.689 2.645
-3.189 0.603 -0.289
-3.500 -8.781 1.946
Sc K N
2 1 1
Cartesian
-5.656 -2.165 2.792 Sc
-2.807 -5.324 1.510 Sc
0.000 0.000 0.000 K
-4.232 -3.745 2.151 N
```

Computed properties:
symmetry = No. 166
total magnetic moment = 0.0 μB/cell
uncorrected formation energy = -70 kJ/mol of atoms

Entry 9:
Density functional theory data (PBEsol) for a relaxed structure of KSc2TlN.

The structure in POSCAR format:
```
KSc2TlN
1.0
-0.533 -4.430 2.987
5.065 0.537 1.701
-2.026 3.555 4.910
Sc Tl K N
2 1 1 1
Cartesian
2.532 0.269 0.850 Sc
-0.267 -2.215 1.494 Sc
0.000 0.000 0.000 Tl
-1.013 1.777 2.455 K
1.253 -0.169 4.799 N
```

Computed properties:
symmetry = No. 123
total magnetic moment = 1.1 μB/cell
uncorrected formation energy = 140 kJ/mol of atoms

Entry 10:
Density functional theory data (PBEsol) for a relaxed structure of KSeN2.

The structure in POSCAR format:
```
KSeN2
1.0
5.710 0.004 0.006
-2.720 5.021 -0.006
-2.720 -1.784 4.693
K Se N
2 2 4
Cartesian
-2.720 1.619 2.344 K
0.135 -0.080 3.521 K
0.000 0.000 0.000 Se
0.135 3.322 1.172 Se
-1.658 3.556 0.583 N
0.569 3.896 2.933 N
0.433 1.443 1.161 N
1.197 4.391 0.011 N
```

Computed properties:
symmetry = No. 122
total magnetic moment = 0.0 μB/cell
uncorrected formation energy = 63 kJ/mol of atoms

Entry 11:
Density functional theory data (PBEsol) for a relaxed structure of KSiSe2N.

The structure in POSCAR format:
```
KSiSe2N
1.0
-1.464 1.377 -4.166
-2.335 -4.949 -0.816
-4.700 1.845 2.262
K Si Se N
1 1 2 1
Cartesian
0.000 0.000 0.000 K
-4.250 -0.863 -1.360 Si
-2.350 0.922 1.131 Se
-1.168 -2.474 -0.408 Se
-0.732 0.689 -2.083 N
```

Computed properties:
symmetry = No. 123
total magnetic moment = 3.1 μB/cell
uncorrected formation energy = 174 kJ/mol of atoms

Entry 12:
Density functional theory data (PBEsol) for a relaxed structure of KTiSe2N.

The structure in POSCAR format:
```
KTiSe2N
1.0
3.923 0.000 0.000
0.000 5.105 0.000
0.000 0.000 5.105
K N Se Ti
1 1 2 1
Cartesian
1.961 2.552 2.552 K
1.961 0.000 0.000 N
0.000 0.000 2.552 Se
0.000 2.552 0.000 Se
0.000 0.000 0.000 Ti
```

Computed properties:
symmetry = No. 123
total magnetic moment = 1.4 μB/cell
uncorrected formation energy = -51 kJ/mol of atoms